(1)
Nb4AsPN2 (PBE-GGA, relaxed); final energy = -73.30 eV/cell
1.0
-0.223 -1.874 -2.714
1.905 -0.965 2.524
-9.185 -5.761 4.732
N P Nb As
2 1 4 1
Direct
0.333 0.667 0.253
0.333 0.667 0.747
0.667 0.333 0.500
0.000 0.000 0.354
0.667 0.333 0.165
0.000 0.000 0.646
0.667 0.333 0.835
0.000 0.000 0.000


(2)
Nb4AsPbN2 (PBE-GGA, relaxed); final energy = -69.81 eV/cell
1.0
-0.706 -3.121 0.929
2.412 1.696 1.553
-8.596 4.467 8.472
N Nb Pb As
2 4 1 1
Direct
0.333 0.667 0.235
0.333 0.667 0.765
0.000 0.000 0.856
0.667 0.333 0.687
0.667 0.333 0.313
0.000 0.000 0.144
0.000 0.000 0.500
0.667 0.333 0.000


(3)
Nb4SbAsN2 (PBE-GGA, relaxed); final energy = -70.73 eV/cell
1.0
3.342 0.000 0.000
-1.671 2.894 0.000
0.000 0.000 12.505
Nb N Sb As
4 2 1 1
Direct
0.333 0.667 0.323
0.333 0.667 0.677
0.667 0.333 0.851
0.667 0.333 0.149
0.000 0.000 0.241
0.000 0.000 0.759
0.667 0.333 0.500
0.333 0.667 0.000


(4)
Sc2Nb4As3N3 (PBE-GGA, relaxed); final energy = -208.62 eV/cell
1.0
4.977 -2.895 0.000
4.977 2.895 0.000
-3.273 0.000 12.033
N Sc Nb As
6 4 8 6
Direct
0.185 0.657 0.500
0.343 0.815 0.000
0.500 0.000 0.500
0.657 0.185 0.000
0.815 0.343 0.500
0.000 0.500 0.000
0.633 0.468 0.900
0.367 0.532 0.100
0.532 0.367 0.600
0.468 0.633 0.400
0.190 0.037 0.590
0.869 0.697 0.590
0.303 0.131 0.910
0.697 0.869 0.090
0.963 0.810 0.910
0.037 0.190 0.090
0.810 0.963 0.410
0.131 0.303 0.410
0.761 0.581 0.249
0.419 0.239 0.251
0.239 0.419 0.751
0.581 0.761 0.749
0.924 0.076 0.750
0.076 0.924 0.250


(5)
Y2Nb4As3N3 (PBE-GGA, relaxed); final energy = -207.05 eV/cell
1.0
5.125 -2.989 0.000
5.125 2.989 0.000
-3.359 0.000 12.253
Nb As Y N
8 6 4 6
Direct
0.134 0.303 0.413
0.036 0.191 0.086
0.697 0.866 0.087
0.303 0.134 0.913
0.964 0.809 0.914
0.191 0.036 0.586
0.809 0.964 0.414
0.866 0.697 0.587
0.053 0.947 0.250
0.787 0.580 0.250
0.420 0.213 0.250
0.213 0.420 0.750
0.947 0.053 0.750
0.580 0.787 0.750
0.465 0.628 0.393
0.535 0.372 0.607
0.628 0.465 0.893
0.372 0.535 0.107
0.500 0.000 0.500
0.666 0.168 0.000
0.168 0.666 0.500
0.334 0.832 0.000
0.000 0.500 0.000
0.832 0.334 0.500


(6)
Y4Nb2As3N3 (PBE-GGA, relaxed); final energy = -197.57 eV/cell
1.0
-3.841 -3.756 -2.807
1.613 -2.475 -5.293
5.914 -7.880 8.916
Nb N As Y
4 6 6 8
Direct
0.365 0.528 0.082
0.472 0.635 0.418
0.528 0.365 0.582
0.635 0.472 0.918
0.175 0.663 0.500
0.663 0.175 0.000
0.825 0.337 0.500
0.500 0.000 0.500
0.337 0.825 0.000
0.000 0.500 0.000
0.708 0.581 0.249
0.292 0.419 0.751
0.419 0.292 0.251
0.129 0.871 0.250
0.871 0.129 0.750
0.581 0.708 0.749
0.871 0.702 0.604
0.199 0.038 0.604
0.962 0.801 0.896
0.702 0.871 0.104
0.038 0.199 0.104
0.298 0.129 0.896
0.801 0.962 0.396
0.129 0.298 0.396


(7)
Zr2Nb4As3N3 (PBE-GGA, relaxed); final energy = -215.54 eV/cell
1.0
-0.897 -5.054 -2.721
0.699 -4.996 2.882
-11.593 3.624 3.266
N As Zr Nb
6 6 4 8
Direct
0.182 0.660 0.000
0.340 0.818 0.500
0.660 0.182 0.500
0.500 0.000 0.000
0.818 0.340 0.000
0.000 0.500 0.500
0.935 0.065 0.250
0.581 0.771 0.249
0.065 0.935 0.750
0.229 0.419 0.251
0.419 0.229 0.751
0.771 0.581 0.749
0.363 0.533 0.601
0.637 0.467 0.399
0.467 0.637 0.899
0.533 0.363 0.101
0.127 0.304 0.911
0.304 0.127 0.411
0.813 0.960 0.911
0.040 0.187 0.589
0.187 0.040 0.089
0.696 0.873 0.589
0.873 0.696 0.089
0.960 0.813 0.411


(8)
Nd6AsN2 (PBE-GGA, relaxed); final energy = -52.69 eV/cell
1.0
-0.865 -4.899 5.452
2.477 -2.212 -6.591
4.008 0.705 1.270
Nd N As
6 2 1
Direct
0.296 0.000 0.500
0.588 0.000 0.000
0.000 0.296 0.500
0.704 0.704 0.500
0.412 0.412 0.000
0.000 0.588 0.000
0.333 0.667 0.500
0.667 0.333 0.500
0.000 0.000 0.000


(9)
Nd3AsN2 (PBE-GGA, relaxed); final energy = -43.28 eV/cell
1.0
-3.063 -1.481 1.631
0.842 -0.870 -3.574
5.295 -7.553 3.086
N As Nd
2 1 3
Direct
0.333 0.667 0.848
0.667 0.333 0.152
0.000 0.000 0.500
0.000 0.000 0.000
0.667 0.333 0.705
0.333 0.667 0.295


(10)
Pr2NdAs2N6 (PBE-GGA, relaxed); final energy = -79.17 eV/cell
1.0
-1.962 1.962 9.835
1.962 -1.962 9.835
1.962 1.962 -9.835
As N Nd Pr
2 6 1 2
Direct
0.604 0.604 0.000
0.396 0.396 0.000
0.698 0.698 0.000
0.302 0.302 0.000
0.585 0.085 0.500
0.415 0.915 0.500
0.915 0.415 0.500
0.085 0.585 0.500
0.000 0.000 0.000
0.179 0.179 0.000
0.821 0.821 0.000


(11)
Zr4NiAsN2 (PBE-GGA, relaxed); final energy = -69.77 eV/cell
1.0
-1.344 -1.732 -2.541
1.758 -1.595 2.373
-10.612 -1.660 6.745
Zr Ni N As
4 1 2 1
Direct
0.667 0.333 0.652
0.333 0.667 0.148
0.333 0.667 0.852
0.667 0.333 0.348
0.667 0.333 0.000
0.000 0.000 0.752
0.000 0.000 0.248
0.333 0.667 0.500


(12)
Zr4NiAsN2 (PBE-GGA, relaxed); final energy = -69.77 eV/cell
1.0
-0.543 3.260 -0.568
-1.617 -2.311 -1.815
-9.436 -0.087 8.521
Zr As N Ni
4 1 2 1
Direct
0.667 0.333 0.848
0.000 0.000 0.648
0.667 0.333 0.152
0.000 0.000 0.352
0.000 0.000 0.000
0.333 0.667 0.748
0.333 0.667 0.252
0.667 0.333 0.500


(13)
AsOsNO (PBE-GGA, relaxed); ΔE to the lowest computed polymorph = 0.767 eV/atom
1.0
2.976 -2.975 0.000
2.976 2.975 0.000
0.000 0.000 5.207
O As Os N
2 2 2 2
Direct
0.250 0.750 0.000
0.750 0.250 0.000
0.250 0.750 0.500
0.750 0.250 0.500
0.250 0.250 0.055
0.750 0.750 0.945
0.750 0.750 0.318
0.250 0.250 0.682


(14)
AsOsNO (PBE-GGA, relaxed); ΔE to the lowest computed polymorph = 0.275 eV/atom
1.0
3.785 0.000 0.000
0.000 3.785 0.000
0.000 0.000 6.894
Os O N As
2 2 2 2
Direct
0.750 0.250 0.500
0.250 0.750 0.500
0.250 0.750 0.000
0.750 0.250 0.000
0.250 0.250 0.630
0.750 0.750 0.370
0.250 0.250 0.146
0.750 0.750 0.854


(15)
AsOsNO (PBE-GGA, relaxed); ΔE to the lowest computed polymorph = 0.000 eV/atom
1.0
5.039 0.000 0.000
0.000 5.884 0.000
0.000 0.000 7.283
N As Os O
4 4 4 4
Direct
0.122 0.861 0.861
0.622 0.639 0.861
0.622 0.139 0.139
0.122 0.361 0.139
0.455 0.423 0.698
0.955 0.077 0.698
0.955 0.577 0.302
0.455 0.923 0.302
0.999 0.045 0.072
0.499 0.955 0.928
0.499 0.455 0.072
0.999 0.545 0.928
0.126 0.029 0.345
0.126 0.529 0.655
0.627 0.471 0.345
0.627 0.971 0.655


(16)
AsOsNO (PBE-GGA, relaxed); ΔE to the lowest computed polymorph = 0.136 eV/atom
1.0
1.421 0.942 -2.313
4.463 1.374 3.302
2.345 -5.598 -0.840
Os As N O
2 2 2 2
Direct
0.000 0.956 0.640
0.000 0.456 0.360
0.500 0.519 0.746
0.500 0.019 0.254
0.000 0.806 0.342
0.000 0.306 0.658
0.500 0.973 0.871
0.500 0.473 0.129


(17)
PrAsN2O (PBE-GGA, relaxed); final energy = -69.59 eV/cell
1.0
-5.133 1.505 -0.854
1.128 -3.701 3.865
3.029 4.292 2.617
O Pr N As
2 2 4 2
Direct
0.677 0.028 0.792
0.707 0.760 0.215
0.253 0.618 0.828
0.743 0.373 0.108
0.746 0.564 0.705
0.434 0.010 0.293
0.155 0.109 0.690
0.244 0.477 0.364
0.683 0.838 0.521
0.356 0.223 0.483


(18)
PrAsN2O (PBE-GGA, relaxed); final energy = -206.24 eV/cell
1.0
5.463 0.000 0.000
-2.732 4.731 0.000
0.000 0.000 13.557
N Pr O As
12 6 6 6
Direct
0.164 0.836 0.084
0.164 0.328 0.416
0.836 0.164 0.916
0.164 0.836 0.416
0.836 0.672 0.584
0.164 0.328 0.084
0.672 0.836 0.416
0.328 0.164 0.584
0.836 0.164 0.584
0.328 0.164 0.916
0.836 0.672 0.916
0.672 0.836 0.084
0.667 0.333 0.421
0.000 0.000 0.250
0.000 0.000 0.750
0.333 0.667 0.921
0.667 0.333 0.079
0.333 0.667 0.579
0.025 0.512 0.250
0.512 0.488 0.750
0.512 0.025 0.750
0.488 0.975 0.250
0.975 0.488 0.750
0.488 0.512 0.250
0.000 0.000 0.500
0.667 0.333 0.851
0.667 0.333 0.649
0.333 0.667 0.351
0.333 0.667 0.149
0.000 0.000 0.000


(19)
PrAsN2O (PBE-GGA, relaxed); final energy = -69.53 eV/cell
1.0
-5.297 0.347 -0.810
-0.496 -5.252 1.004
2.291 3.206 3.833
As O N Pr
2 2 4 2
Direct
0.000 0.500 0.000
0.500 0.000 0.000
0.774 0.226 0.500
0.226 0.774 0.500
0.202 0.798 0.000
0.315 0.315 0.041
0.798 0.202 0.000
0.685 0.685 0.959
0.753 0.753 0.504
0.247 0.247 0.496